Ac2Tb12Y5 | Alexandria via LeMat-Bulk | PBE-GGA | optimized geometry; energy = -4.97 eV per atom; M_tot = 0.000 μB per formula unit; SG = P-1 (2)
1.0
6.759 0.129 -0.115
-3.077 9.062 -7.208
-0.309 -3.140 12.882
Y Tb Ac
5 12 2
Direct
0.000 0.000 0.500
0.719 0.427 0.425
0.556 0.160 0.708
0.281 0.573 0.575
0.444 0.840 0.292
0.376 0.241 0.498
0.916 0.357 0.624
0.256 0.295 0.176
0.744 0.705 0.824
0.084 0.643 0.376
0.074 0.344 0.963
0.905 0.072 0.234
0.372 0.503 0.879
0.628 0.497 0.121
0.624 0.759 0.502
0.095 0.928 0.766
0.926 0.656 0.037
0.680 0.100 0.963
0.320 0.900 0.037